1.
A relaxed Be2Nb2Ge crystal. Source: the Alexandria database, functional GGA-PBE.

Computed properties:
* E_form: -0.25 eV/atom
* DOS(E_F): 5.43 states/eV per cell
* DFT total energy: -6.70 eV/atom
* size of the total moment: 0.00 Bohr magnetons per cell

Cell lengths 6.079, 6.079, 3.607 Å; angles 90.00, 90.00, 90.00 degrees
Space group P4/mbm (No. 127)
Inequivalent atoms, fractional coordinates:
Be 0.117 0.383 0.000 (multiplicity 4)
Nb 0.179 0.679 0.500 (multiplicity 4)
Ge 0.000 0.000 0.000 (multiplicity 2)

=====

2.
A relaxed Be2NbGe crystal. Source: the Alexandria database, functional GGA-PBE.

Computed properties:
* E_form: 0.26 eV/atom
* DOS(E_F): 8.46 states/eV per cell
* DFT total energy: -5.28 eV/atom
* size of the total moment: 0.00 Bohr magnetons per cell

Cell lengths 6.578, 6.578, 5.084 Å; angles 90.00, 90.00, 90.00 degrees
Space group I-42d (No. 122)
Inequivalent atoms, fractional coordinates:
Be 0.220 0.250 0.125 (multiplicity 8)
Nb 0.000 0.000 0.500 (multiplicity 4)
Ge 0.000 0.000 0.000 (multiplicity 4)

=====

3.
A relaxed Be4Nb3Ge2 crystal. Source: the Alexandria database, functional GGA-PBE.

Computed properties:
* E_form: -0.32 eV/atom
* DOS(E_F): 4.31 states/eV per cell
* DFT total energy: -6.36 eV/atom
* size of the total moment: 0.00 Bohr magnetons per cell

Cell lengths 9.259, 3.670, 7.175 Å; angles 90.00, 105.73, 90.00 degrees
Space group C2/m (No. 12)
Inequivalent atoms, fractional coordinates:
Be 0.050 0.000 0.394 (multiplicity 4)
Be 0.231 0.500 0.049 (multiplicity 4)
Nb 0.000 0.000 0.000 (multiplicity 2)
Nb 0.163 0.500 0.671 (multiplicity 4)
Ge 0.115 0.500 0.277 (multiplicity 4)

=====

4.
A relaxed BeNb2Ge crystal. Source: the Alexandria database, functional GGA-PBE.

Computed properties:
* E_form: -0.47 eV/atom
* DOS(E_F): 2.42 states/eV per cell
* energy relative to the lowest polymorph listed for this composition: 0.000 eV/atom
* DFT total energy: -7.59 eV/atom
* size of the total moment: 0.00 Bohr magnetons per cell

Cell lengths 5.091, 3.551, 7.046 Å; angles 90.00, 110.41, 90.00 degrees
Space group P2_1/m (No. 11)
Inequivalent atoms, fractional coordinates:
Be 0.155 0.250 0.289 (multiplicity 2)
Nb 0.300 0.750 0.082 (multiplicity 2)
Nb 0.312 0.750 0.571 (multiplicity 2)
Ge 0.138 0.250 0.783 (multiplicity 2)

=====

5.
A relaxed BeNb2Ge2 crystal. Source: the Alexandria database, functional GGA-PBE.

Computed properties:
* E_form: -0.10 eV/atom
* DOS(E_F): 5.07 states/eV per cell
* DFT total energy: -6.72 eV/atom
* size of the total moment: 0.00 Bohr magnetons per cell

Cell lengths 6.531, 6.531, 3.704 Å; angles 90.00, 90.00, 90.00 degrees
Space group P4/mbm (No. 127)
Inequivalent atoms, fractional coordinates:
Be 0.000 0.000 0.000 (multiplicity 2)
Nb 0.162 0.338 0.500 (multiplicity 4)
Ge 0.142 0.642 0.000 (multiplicity 4)

=====

6.
A relaxed BeNb2Ge crystal. Source: the Alexandria database, functional GGA-PBE.

Computed properties:
* E_form: 0.05 eV/atom
* DOS(E_F): 20.95 states/eV per cell
* energy relative to the lowest polymorph listed for this composition: 0.513 eV/atom
* DFT total energy: -7.08 eV/atom
* size of the total moment: 0.00 Bohr magnetons per cell

Cell lengths 6.248, 6.248, 6.248 Å; angles 90.00, 90.00, 90.00 degrees
Space group Fm-3m (No. 225)
Inequivalent atoms, fractional coordinates:
Be 0.000 0.000 0.000 (multiplicity 4)
Nb 0.250 0.250 0.250 (multiplicity 8)
Ge 0.000 0.000 0.500 (multiplicity 4)